[1]
LiZn2As2 | PBEsol | optimized geometry

density = 5.07 g/cm3
energy of formation from the pure elements = -0.1857 eV per atom

```
LiZn2As2
1.0
3.890 0.000 0.000
0.000 3.890 0.000
0.000 0.000 12.441
Li Zn As
2 4 4
direct
0.000 0.000 0.000
0.500 0.500 0.500
0.000 0.500 0.250
0.000 0.500 0.750
0.500 0.000 0.250
0.500 0.000 0.750
0.000 0.000 0.381
0.000 0.000 0.619
0.500 0.500 0.119
0.500 0.500 0.881
```

=====

[2]
Li3ZnAs | PBEsol | optimized geometry

density = 2.88 g/cm3
energy of formation from the pure elements = 0.1474 eV per atom

```
Li3ZnAs
1.0
4.531 0.000 0.000
0.000 4.531 0.000
0.000 0.000 4.531
Li Zn As
3 1 1
direct
0.000 0.000 0.500
0.000 0.500 0.000
0.500 0.000 0.000
0.000 0.000 0.000
0.500 0.500 0.500
```

=====

[3]
LiZnAs | PBEsol | optimized geometry

density = 4.22 g/cm3
energy of formation from the pure elements = -0.3100 eV per atom

```
LiZnAs
1.0
4.076 0.000 0.000
-2.038 3.530 0.000
0.000 0.000 4.026
Li Zn As
1 1 1
direct
0.000 0.000 0.000
0.667 0.333 0.500
0.333 0.667 0.500
```

=====

[4]
Li2ZrAs | PBEsol | optimized geometry

density = 4.13 g/cm3
energy of formation from the pure elements = -0.0989 eV per atom

```
Li2ZrAs
1.0
2.926 0.000 0.000
-1.463 2.534 0.000
0.000 0.000 29.264
Li Zr As
6 3 3
direct
0.000 0.000 0.238
0.000 0.000 0.762
0.333 0.667 0.429
0.333 0.667 0.904
0.667 0.333 0.096
0.667 0.333 0.571
0.000 0.000 0.000
0.333 0.667 0.667
0.667 0.333 0.333
0.000 0.000 0.500
0.333 0.667 0.167
0.667 0.333 0.833
```

=====

[5]
Li2ZrAs | PBEsol | optimized geometry

density = 5.10 g/cm3
energy of formation from the pure elements = -0.0549 eV per atom

```
Li2ZrAs
1.0
6.167 0.000 0.000
0.000 6.167 0.000
0.000 0.000 6.167
Li Zr As
8 4 4
direct
0.250 0.250 0.250
0.250 0.250 0.750
0.250 0.750 0.250
0.250 0.750 0.750
0.750 0.250 0.250
0.750 0.250 0.750
0.750 0.750 0.250
0.750 0.750 0.750
0.000 0.000 0.000
0.000 0.500 0.500
0.500 0.000 0.500
0.500 0.500 0.000
0.000 0.000 0.500
0.000 0.500 0.000
0.500 0.000 0.000
0.500 0.500 0.500
```

=====

[6]
Li2ZrAs | PBEsol | optimized geometry

density = 4.43 g/cm3
energy of formation from the pure elements = -0.2512 eV per atom

```
Li2ZrAs
1.0
3.006 0.000 0.000
0.000 4.089 0.000
0.000 0.000 5.496
Li Zr As
2 1 1
direct
0.000 0.000 0.216
0.000 0.000 0.784
0.500 0.500 0.500
0.500 0.500 0.000
```

=====

[7]
LuAs | PBEsol | optimized geometry

density = 9.36 g/cm3
energy of formation from the pure elements = -1.4996 eV per atom

```
LuAs
1.0
5.619 0.000 0.000
0.000 5.619 0.000
0.000 0.000 5.619
Lu As
4 4
direct
0.000 0.000 0.000
0.000 0.500 0.500
0.500 0.000 0.500
0.500 0.500 0.000
0.000 0.000 0.500
0.000 0.500 0.000
0.500 0.000 0.000
0.500 0.500 0.500
```

=====

[8]
LuNi4As2 | PBEsol | optimized geometry

density = 9.98 g/cm3
energy of formation from the pure elements = -0.6664 eV per atom

```
LuNi4As2
1.0
7.073 0.000 0.000
0.000 7.073 0.000
0.000 0.000 3.722
Lu Ni As
2 8 4
direct
0.000 0.000 0.000
0.500 0.500 0.500
0.089 0.346 0.500
0.154 0.589 0.000
0.346 0.089 0.500
0.411 0.846 0.000
0.589 0.154 0.000
0.654 0.911 0.500
0.846 0.411 0.000
0.911 0.654 0.500
0.218 0.782 0.500
0.282 0.282 0.000
0.718 0.718 0.000
0.782 0.218 0.500
```

=====

no.,calculated volume (Å³/atom)
1,18.8
2,18.6
3,19.3
4,18.1
5,14.7
6,16.9
7,22.2
8,13.3